# 1
A plane-wave DFT calculation with PBE-GGA was carried out for TaAs3O after structural relaxation.

Geometry as POSCAR:
```
TaAs3O
1.0
4.3175 0.0000 0.0000
0.0000 4.3175 0.0000
0.0000 0.0000 4.3175
Ta As O
1 3 1
Direct
0.0000 0.0000 0.0000 Ta
0.0000 0.5000 0.5000 As
0.5000 0.0000 0.5000 As
0.5000 0.5000 0.0000 As
0.5000 0.5000 0.5000 O
```

Summary:
For the uncorrected formation energy, the calculation gives 256 meV per atom. For the total energy, the calculation gives -5.8963 eV/atom. The value obtained for the volume is 80.48 Å³/cell. The value obtained for the offset from the most stable computed form is 0 meV/atom. The calculation puts the mass density at 8.70 g cm⁻³.

# 2
A plane-wave DFT calculation with PBE-GGA was carried out for TaAs3O after structural relaxation.

Geometry as POSCAR:
```
TaAs3O
1.0
4.9269 0.0000 0.0000
0.0000 4.9269 0.0000
0.0000 0.0000 4.9269
Ta As O
1 3 1
Direct
0.0000 0.0000 0.0000 Ta
0.0000 0.0000 0.5000 As
0.0000 0.5000 0.0000 As
0.5000 0.0000 0.0000 As
0.5000 0.5000 0.5000 O
```

Summary:
For the uncorrected formation energy, the calculation gives 725 meV per atom. For the total energy, the calculation gives -5.4265 eV/atom. The value obtained for the volume is 119.59 Å³/cell. The value obtained for the offset from the most stable computed form is 470 meV/atom. The calculation puts the mass density at 5.86 g cm⁻³.

# 3
A plane-wave DFT calculation with PBE-GGA was carried out for TaTe2AsO after structural relaxation.

Geometry as POSCAR:
```
TaTe2AsO
1.0
5.5212 0.0000 0.0000
0.0000 5.5212 0.0000
0.0000 0.0000 3.8448
Ta Te As O
1 2 1 1
Direct
0.0000 0.0000 0.0000 Ta
0.0000 0.5000 0.0000 Te
0.5000 0.0000 0.0000 Te
0.5000 0.5000 0.5000 As
0.0000 0.0000 0.5000 O
```

Summary:
For the uncorrected formation energy, the calculation gives -478 meV per atom. For the total energy, the calculation gives -6.0264 eV/atom. The value obtained for the volume is 117.20 Å³/cell. The calculation puts the mass density at 7.47 g cm⁻³.

# 4
A plane-wave DFT calculation with PBE-GGA was carried out for Ta2TiAsO after structural relaxation.

Geometry as POSCAR:
```
Ta2TiAsO
1.0
4.9628 0.0000 0.0000
0.0000 4.9628 0.0000
0.0000 0.0000 3.7479
Ta Ti As O
2 1 1 1
Direct
0.0000 0.5000 0.0000 Ta
0.5000 0.0000 0.0000 Ta
0.0000 0.0000 0.5000 Ti
0.5000 0.5000 0.0000 As
0.5000 0.5000 0.5000 O
```

Summary:
For the uncorrected formation energy, the calculation gives 657 meV per atom. For the total energy, the calculation gives -7.5845 eV/atom. The value obtained for the volume is 92.31 Å³/cell. The calculation puts the mass density at 9.01 g cm⁻³.

# 5
A plane-wave DFT calculation with PBE-GGA was carried out for TaTl2AsO6 after structural relaxation.

Geometry as POSCAR:
```
TaTl2AsO6
1.0
0.0000 3.9867 3.9867
3.9867 0.0000 3.9867
3.9867 3.9867 0.0000
Ta Tl As O
1 2 1 6
Direct
0.0000 0.0000 0.0000 Ta
0.2500 0.2500 0.2500 Tl
0.7500 0.7500 0.7500 Tl
0.5000 0.5000 0.5000 As
0.2556 0.2556 0.7444 O
0.2556 0.7444 0.2556 O
0.2556 0.7444 0.7444 O
0.7444 0.2556 0.2556 O
0.7444 0.2556 0.7444 O
0.7444 0.7444 0.2556 O
```

Summary:
For the uncorrected formation energy, the calculation gives -1376 meV per atom. For the total energy, the calculation gives -6.4741 eV/atom. The value obtained for the volume is 126.73 Å³/cell. The calculation puts the mass density at 9.97 g cm⁻³.

# 6
A plane-wave DFT calculation with PBE-GGA was carried out for TaTlAsO5 after structural relaxation.

Geometry as POSCAR:
```
TaTlAsO5
1.0
3.7140 -4.8534 0.0000
3.7140 4.8534 0.0000
-3.4155 0.0000 6.8590
Ta Tl As O
2 2 2 10
Direct
0.0000 0.0000 0.0000 Ta
0.0000 0.0000 0.5000 Ta
0.3261 0.6739 0.7500 Tl
0.6739 0.3261 0.2500 Tl
0.3110 0.6890 0.2500 As
0.6890 0.3110 0.7500 As
0.0501 0.9499 0.7500 O
0.1084 0.7208 0.3908 O
0.2163 0.3591 0.1032 O
0.2792 0.8916 0.1092 O
0.3591 0.2163 0.6032 O
0.6409 0.7837 0.3968 O
0.7208 0.1084 0.8908 O
0.7837 0.6409 0.8968 O
0.8916 0.2792 0.6092 O
0.9499 0.0501 0.2500 O
```

Summary:
For the uncorrected formation energy, the calculation gives -1690 meV per atom. For the total energy, the calculation gives -7.1472 eV/atom. The value obtained for the volume is 247.27 Å³/cell. The calculation puts the mass density at 7.26 g cm⁻³.

# 7
A plane-wave DFT calculation with PBE-GGA was carried out for TaZnAsO6 after structural relaxation.

Geometry as POSCAR:
```
TaZnAsO6
1.0
5.0869 0.0000 0.0000
-2.5434 4.4054 0.0000
0.0000 0.0000 9.0804
Ta Zn As O
2 2 2 12
Direct
0.3333 0.6667 0.2500 Ta
0.6667 0.3333 0.7500 Ta
0.0000 0.0000 0.0000 Zn
0.0000 0.0000 0.5000 Zn
0.3333 0.6667 0.7500 As
0.6667 0.3333 0.2500 As
0.0200 0.3692 0.6356 O
0.0200 0.6508 0.8644 O
0.3492 0.3692 0.8644 O
0.3492 0.9800 0.6356 O
0.3692 0.0200 0.1356 O
0.3692 0.3492 0.3644 O
0.6308 0.6508 0.6356 O
0.6308 0.9800 0.8644 O
0.6508 0.0200 0.3644 O
0.6508 0.6308 0.1356 O
0.9800 0.3492 0.1356 O
0.9800 0.6308 0.3644 O
```

Summary:
For the uncorrected formation energy, the calculation gives -1789 meV per atom. For the total energy, the calculation gives -7.0700 eV/atom. The value obtained for the volume is 203.49 Å³/cell. The calculation puts the mass density at 6.81 g cm⁻³.

# 8
A plane-wave DFT calculation with PBE-GGA was carried out for Tb4As3O after structural relaxation.

Geometry as POSCAR:
```
Tb4As3O
1.0
11.3332 0.0000 0.0000
0.0000 5.7924 0.0000
0.0000 0.0000 5.7946
Tb As O
8 6 2
Direct
0.0000 0.1812 0.0000 Tb
0.0000 0.7476 0.4303 Tb
0.2476 0.7519 0.9993 Tb
0.2524 0.2481 0.4993 Tb
0.5000 0.2524 0.9303 Tb
0.5000 0.8188 0.5000 Tb
0.7476 0.2481 0.4993 Tb
0.7524 0.7519 0.9993 Tb
0.0000 0.2474 0.4990 As
0.2499 0.2524 0.9990 As
0.2501 0.7476 0.4990 As
0.5000 0.7526 0.9990 As
0.7501 0.2524 0.9990 As
0.7499 0.7476 0.4990 As
0.0000 0.8090 0.0585 O
0.5000 0.1910 0.5585 O
```

Summary:
For the uncorrected formation energy, the calculation gives -1783 meV per atom. For the total energy, the calculation gives -6.4612 eV/atom. The value obtained for the volume is 380.39 Å³/cell. The calculation puts the mass density at 7.65 g cm⁻³.